(1)
Entry from Alexandria via LeMat-Bulk: crystalline Mg3Si4 at its relaxed geometry (PBE).

POSCAR file:
```
Mg3Si4
1.0
-2.419 -4.276 1.138
1.766 -4.530 -5.365
4.810 -4.440 4.448
Mg Si
6 8
direct
0.716 0.834 0.594
0.388 0.653 0.404
0.614 0.801 0.003
0.580 0.141 0.235
0.944 0.378 0.434
0.105 0.253 0.972
0.353 0.480 0.117
0.103 0.003 0.270
0.083 0.553 0.732
0.581 0.497 0.804
0.931 0.725 0.233
0.430 0.271 0.594
0.182 0.024 0.562
0.736 0.132 0.800
```

Properties
Energy relative to the elements, uncorrected: 0.0990 eV/atom
Total magnetic moment: 0.00 μB/f.u.



(2)
Entry from Alexandria via LeMat-Bulk: crystalline Na3GaP8O23 at its relaxed geometry (PBE).

POSCAR file:
```
Na3GaP8O23
1.0
-2.741 10.426 5.529
-3.209 -6.121 9.951
11.357 0.787 4.146
Na Ga P O
12 4 32 92
direct
0.125 0.044 0.294
0.625 0.456 0.706
0.956 0.794 0.375
0.044 0.294 0.125
0.706 0.625 0.456
0.794 0.375 0.956
0.206 0.875 0.544
0.544 0.206 0.875
0.456 0.706 0.625
0.294 0.125 0.044
0.375 0.956 0.794
0.875 0.544 0.206
0.125 0.625 0.875
0.375 0.375 0.375
0.875 0.125 0.625
0.625 0.875 0.125
0.069 0.362 0.854
0.896 0.388 0.681
0.362 0.854 0.069
0.862 0.646 0.931
0.638 0.354 0.431
0.646 0.931 0.862
0.431 0.638 0.354
0.931 0.862 0.646
0.854 0.069 0.362
0.604 0.612 0.181
0.354 0.431 0.638
0.146 0.569 0.138
0.819 0.104 0.888
0.396 0.112 0.319
0.104 0.888 0.819
0.681 0.896 0.388
0.319 0.396 0.112
0.888 0.819 0.104
0.388 0.681 0.896
0.138 0.146 0.569
0.181 0.604 0.612
0.112 0.319 0.396
0.612 0.181 0.604
0.018 0.018 0.018
0.268 0.232 0.768
0.768 0.268 0.232
0.232 0.768 0.268
0.482 0.982 0.518
0.518 0.482 0.982
0.982 0.518 0.482
0.732 0.732 0.732
0.569 0.138 0.146
0.662 0.662 0.662
0.912 0.588 0.412
0.588 0.412 0.912
0.412 0.912 0.588
0.162 0.838 0.338
0.838 0.338 0.162
0.338 0.162 0.838
0.088 0.088 0.088
0.437 0.512 0.679
0.937 0.988 0.321
0.512 0.679 0.437
0.488 0.179 0.063
0.679 0.437 0.512
0.821 0.563 0.012
0.187 0.929 0.738
0.687 0.571 0.262
0.813 0.429 0.762
0.571 0.262 0.687
0.762 0.813 0.429
0.262 0.687 0.571
0.929 0.738 0.187
0.738 0.187 0.929
0.429 0.762 0.813
0.071 0.238 0.313
0.238 0.313 0.071
0.321 0.937 0.988
0.179 0.063 0.488
0.012 0.821 0.563
0.988 0.321 0.937
0.063 0.488 0.179
0.563 0.012 0.821
0.313 0.071 0.238
0.375 0.733 0.017
0.517 0.125 0.267
0.738 0.328 0.344
0.233 0.483 0.625
0.983 0.875 0.767
0.017 0.375 0.733
0.483 0.625 0.233
0.267 0.517 0.125
0.733 0.017 0.375
0.625 0.233 0.483
0.125 0.267 0.517
0.875 0.767 0.983
0.328 0.344 0.738
0.828 0.156 0.262
0.344 0.738 0.328
0.656 0.238 0.172
0.037 0.121 0.637
0.287 0.613 0.871
0.787 0.887 0.129
0.387 0.371 0.213
0.613 0.871 0.287
0.129 0.787 0.887
0.371 0.213 0.387
0.637 0.037 0.121
0.121 0.637 0.037
0.379 0.363 0.537
0.137 0.463 0.879
0.879 0.137 0.463
0.863 0.963 0.621
0.363 0.537 0.379
0.621 0.863 0.963
0.537 0.379 0.363
0.963 0.621 0.863
0.463 0.879 0.137
0.871 0.287 0.613
0.629 0.713 0.113
0.887 0.129 0.787
0.113 0.629 0.713
0.213 0.387 0.371
0.713 0.113 0.629
0.422 0.012 0.406
0.672 0.844 0.762
0.172 0.656 0.238
0.156 0.262 0.828
0.844 0.762 0.672
0.238 0.172 0.656
0.262 0.828 0.156
0.406 0.422 0.012
0.012 0.406 0.422
0.488 0.594 0.922
0.906 0.078 0.988
0.988 0.906 0.078
0.094 0.578 0.512
0.594 0.922 0.488
0.512 0.094 0.578
0.922 0.488 0.594
0.578 0.512 0.094
0.078 0.988 0.906
0.762 0.672 0.844
0.767 0.983 0.875
```

Properties
Energy relative to the elements, uncorrected: -2.1350 eV/atom
Total magnetic moment: 0.00 μB/f.u.



(3)
Entry from Alexandria via LeMat-Bulk: crystalline BeHg2Ir at its relaxed geometry (PBE).

POSCAR file:
```
BeHg2Ir
1.0
5.560 -0.007 -0.001
4.696 2.978 -0.001
1.832 0.531 4.072
Be Ir Hg
1 1 2
direct
0.216 0.216 0.283
0.551 0.551 0.449
0.970 0.970 0.030
0.762 0.762 0.739
```

Properties
ΔH_f (0 K): 26.42 kJ/mol of atoms
Total magnetic moment: 0.00 μB/f.u.



(4)
Entry from Alexandria via LeMat-Bulk: crystalline Tl2InHRh at its relaxed geometry (PBE).

POSCAR file:
```
Tl2InHRh
1.0
-1.970 3.009 -3.839
-4.839 -1.726 1.130
-0.599 3.868 3.339
H Tl Rh In
1 2 1 1
direct
0.500 0.500 0.500
0.000 0.500 0.000
0.500 0.000 0.000
0.000 0.000 0.000
0.000 0.000 0.500
```

Properties
Total magnetic moment: 0.00 μB/f.u.
Energy: -3.360 eV/atom



(5)
Entry from Alexandria via LeMat-Bulk: crystalline Sc2CrCu at its relaxed geometry (PBE).

POSCAR file:
```
Sc2CrCu
1.0
2.627 -3.810 0.640
1.141 -1.351 4.324
-1.894 -3.865 1.816
Sc Cr Cu
2 1 1
direct
0.250 0.250 0.250
0.750 0.750 0.750
0.000 0.000 0.000
0.500 0.500 0.500
```

Properties
ΔH_f (0 K): 5.24 kJ/mol of atoms
Total magnetic moment: 3.19 μB/f.u.



(6)
Entry from Alexandria via LeMat-Bulk: crystalline PbCl4F at its relaxed geometry (PBE).

POSCAR file:
```
PbCl4F
1.0
6.827 -0.839 0.000
-1.973 7.066 0.000
-2.427 -3.114 8.109
Pb Cl F
2 8 2
direct
0.819 0.069 0.138
0.181 0.931 0.862
0.309 0.063 0.638
0.045 0.833 0.100
0.170 0.425 0.362
0.445 0.733 0.900
0.691 0.937 0.362
0.830 0.575 0.638
0.955 0.167 0.900
0.555 0.267 0.100
0.425 0.675 0.350
0.575 0.325 0.650
```

Properties
Energy relative to the elements, uncorrected: -0.5066 eV/atom
Total magnetic moment: 0.00 μB/f.u.



(7)
Entry from Alexandria via LeMat-Bulk: crystalline Mg2InB2Pd5 at its relaxed geometry (PBE).

POSCAR file:
```
Mg2InB2Pd5
1.0
-2.314 -0.160 -2.057
5.102 -6.437 -5.237
-4.001 -7.294 5.067
Mg In B Pd
4 2 4 10
direct
0.000 0.677 0.177
0.000 0.323 0.823
0.000 0.177 0.323
0.000 0.823 0.677
0.000 0.000 0.000
0.000 0.500 0.500
0.000 0.121 0.621
0.000 0.879 0.379
0.000 0.621 0.879
0.000 0.379 0.121
0.500 0.226 0.070
0.500 0.774 0.930
0.500 0.070 0.774
0.500 0.726 0.430
0.500 0.930 0.226
0.500 0.274 0.570
0.500 0.570 0.726
0.500 0.430 0.274
0.500 0.500 0.000
0.500 0.000 0.500
```

Properties
ΔH_f (0 K): -42.07 kJ/mol of atoms
Total magnetic moment: 0.00 μB/f.u.



(8)
Entry from Alexandria via LeMat-Bulk: crystalline Sm4BiTe2S at its relaxed geometry (PBE).

POSCAR file:
```
Sm4BiTe2S
1.0
4.324 0.000 0.000
0.000 7.603 0.159
0.000 -2.631 7.170
Sm Bi Te S
4 1 2 1
direct
0.500 0.270 0.231
0.500 0.730 0.769
0.000 0.282 0.781
0.000 0.718 0.219
0.000 0.000 0.000
0.500 0.000 0.500
0.000 0.500 0.500
0.500 0.500 0.000
```

Properties
Energy relative to the elements, uncorrected: -1.4045 eV/atom
Total magnetic moment: 0.00 μB/f.u.



(9)
Entry from Alexandria via LeMat-Bulk: crystalline ZrZnCo at its relaxed geometry (PBE).

POSCAR file:
```
ZrZnCo
1.0
-3.169 -2.624 -2.092
3.859 -0.138 -2.528
1.162 -2.498 4.487
Zr Co Zn
2 2 2
direct
0.603 0.897 0.250
0.397 0.103 0.750
0.000 0.000 0.000
0.500 0.500 0.500
0.976 0.524 0.250
0.024 0.476 0.750
```

Properties
ΔH_f (0 K): -8.51 kJ/mol of atoms
Total magnetic moment: 0.00 μB/f.u.